Y4FeTe: optimized geometry, PBE.

Output
* raw formation energy: -2.69 eV/f.u.
* space group: Pnma, No. 62
* raw total energy: -160.596 eV per cell
* energy above the lowest structure with this stoichiometry: 0.0 meV/atom

Cell and atoms, written as CIF:
```
data_Y4FeTe
_chemical_formula_sum 'Y16 Fe4 Te4'
_symmetry_space_group_name_H-M 'P 1'
_symmetry_Int_Tables_number 1
_cell_length_a 3.981
_cell_length_b 8.198
_cell_length_c 19.346
_cell_angle_alpha 90.00
_cell_angle_beta 90.00
_cell_angle_gamma 90.00
loop_
_symmetry_equiv_pos_as_xyz
'x,y,z'
loop_
_atom_site_label
_atom_site_type_symbol
_atom_site_fract_x
_atom_site_fract_y
_atom_site_fract_z
_atom_site_occupancy
Y1 Y 0.250 0.140 0.356 1
Y2 Y 0.250 0.995 0.067 1
Y3 Y 0.250 0.543 0.715 1
Y4 Y 0.250 0.495 0.433 1
Y5 Y 0.750 0.005 0.933 1
Y6 Y 0.250 0.043 0.785 1
Y7 Y 0.750 0.360 0.856 1
Y8 Y 0.750 0.357 0.047 1
Y9 Y 0.750 0.957 0.215 1
Y10 Y 0.750 0.457 0.285 1
Y11 Y 0.750 0.860 0.644 1
Y12 Y 0.250 0.643 0.953 1
Y13 Y 0.250 0.640 0.144 1
Y14 Y 0.750 0.857 0.453 1
Y15 Y 0.250 0.143 0.547 1
Y16 Y 0.750 0.505 0.567 1
Fe1 Fe 0.250 0.753 0.552 1
Fe2 Fe 0.750 0.247 0.448 1
Fe3 Fe 0.750 0.747 0.052 1
Fe4 Fe 0.250 0.253 0.948 1
Te1 Te 0.750 0.243 0.689 1
Te2 Te 0.750 0.743 0.811 1
Te3 Te 0.250 0.757 0.311 1
Te4 Te 0.250 0.257 0.189 1
```

***

BaAlRh2: optimized geometry, PBE.

Output
* space group: R3m, No. 160
* raw total energy: -21.989 eV per cell
* energy of formation from the pure elements: -39.1 kJ per mole of atoms
* energy above the lowest structure with this stoichiometry: 65.3 meV/atom

Cell and atoms, written as CIF:
```
data_BaAlRh2
_chemical_formula_sum 'Ba1 Al1 Rh2'
_symmetry_space_group_name_H-M 'P 1'
_symmetry_Int_Tables_number 1
_cell_length_a 6.295
_cell_length_b 6.295
_cell_length_c 6.295
_cell_angle_alpha 41.07
_cell_angle_beta 41.07
_cell_angle_gamma 41.07
loop_
_symmetry_equiv_pos_as_xyz
'x,y,z'
loop_
_atom_site_label
_atom_site_type_symbol
_atom_site_fract_x
_atom_site_fract_y
_atom_site_fract_z
_atom_site_occupancy
Al1 Al 0.564 0.564 0.564 1
Ba1 Ba 0.752 0.752 0.752 1
Rh1 Rh 0.247 0.247 0.247 1
Rh2 Rh 0.937 0.937 0.937 1
```

***

Li2Cu: optimized geometry, PBE.

Output
* space group: Cm, No. 8
* raw total energy: -15.800 eV per cell
* energy of formation from the pure elements: 0.8 kJ per mole of atoms

Cell and atoms, written as CIF:
```
data_Li2Cu
_chemical_formula_sum 'Li4 Cu2'
_symmetry_space_group_name_H-M 'P 1'
_symmetry_Int_Tables_number 1
_cell_length_a 5.333
_cell_length_b 5.333
_cell_length_c 6.438
_cell_angle_alpha 75.08
_cell_angle_beta 75.08
_cell_angle_gamma 29.06
loop_
_symmetry_equiv_pos_as_xyz
'x,y,z'
loop_
_atom_site_label
_atom_site_type_symbol
_atom_site_fract_x
_atom_site_fract_y
_atom_site_fract_z
_atom_site_occupancy
Li1 Li 0.290 0.290 0.955 1
Li2 Li 0.615 0.615 0.267 1
Li3 Li 0.934 0.934 0.599 1
Li4 Li 0.660 0.660 0.674 1
Cu1 Cu 0.997 0.997 0.014 1
Cu2 Cu 0.337 0.337 0.324 1
```

***

Rb2BeZnAs2: optimized geometry, PBE.

Output
* space group: Ibam, No. 72
* raw total energy: -36.485 eV per cell
* energy of formation from the pure elements: -32.3 kJ per mole of atoms

Cell and atoms, written as CIF:
```
data_Rb2BeZnAs2
_chemical_formula_sum 'Rb4 Be2 Zn2 As4'
_symmetry_space_group_name_H-M 'P 1'
_symmetry_Int_Tables_number 1
_cell_length_a 6.028
_cell_length_b 5.997
_cell_length_c 9.670
_cell_angle_alpha 108.06
_cell_angle_beta 108.16
_cell_angle_gamma 90.00
loop_
_symmetry_equiv_pos_as_xyz
'x,y,z'
loop_
_atom_site_label
_atom_site_type_symbol
_atom_site_fract_x
_atom_site_fract_y
_atom_site_fract_z
_atom_site_occupancy
Rb1 Rb 0.598 0.835 0.670 1
Rb2 Rb 0.072 0.335 0.670 1
Rb3 Rb 0.402 0.165 0.330 1
Rb4 Rb 0.928 0.665 0.330 1
As1 As 0.647 0.422 0.844 1
As2 As 0.802 0.078 0.156 1
As3 As 0.198 0.922 0.844 1
As4 As 0.353 0.578 0.156 1
Be1 Be 0.500 0.750 0.000 1
Be2 Be 0.500 0.250 0.000 1
Zn1 Zn 0.000 0.750 0.000 1
Zn2 Zn 0.000 0.250 0.000 1
```

***

LiSmTl: optimized geometry, PBE.

Output
* space group: P2_1/m, No. 11
* raw total energy: -19.630 eV per cell
* energy of formation from the pure elements: -26.2 kJ per mole of atoms
* energy above the lowest structure with this stoichiometry: 10.4 meV/atom

Cell and atoms, written as CIF:
```
data_LiSmTl
_chemical_formula_sum 'Li2 Sm2 Tl2'
_symmetry_space_group_name_H-M 'P 1'
_symmetry_Int_Tables_number 1
_cell_length_a 3.973
_cell_length_b 4.855
_cell_length_c 8.062
_cell_angle_alpha 90.00
_cell_angle_beta 91.77
_cell_angle_gamma 90.00
loop_
_symmetry_equiv_pos_as_xyz
'x,y,z'
loop_
_atom_site_label
_atom_site_type_symbol
_atom_site_fract_x
_atom_site_fract_y
_atom_site_fract_z
_atom_site_occupancy
Sm1 Sm 0.736 0.750 0.148 1
Sm2 Sm 0.264 0.250 0.852 1
Li1 Li 0.751 0.250 0.514 1
Li2 Li 0.249 0.750 0.486 1
Tl1 Tl 0.235 0.250 0.258 1
Tl2 Tl 0.765 0.750 0.742 1
```

***

NaP2H: optimized geometry, PBE.

Output
* space group: I4_1/amd, No. 141
* raw total energy: -27.767 eV per cell
* energy above the lowest structure with this stoichiometry: 531.9 meV/atom

Cell and atoms, written as CIF:
```
data_NaP2H
_chemical_formula_sum 'Na2 P4 H2'
_symmetry_space_group_name_H-M 'P 1'
_symmetry_Int_Tables_number 1
_cell_length_a 5.026
_cell_length_b 5.026
_cell_length_c 6.327
_cell_angle_alpha 66.60
_cell_angle_beta 66.60
_cell_angle_gamma 90.00
loop_
_symmetry_equiv_pos_as_xyz
'x,y,z'
loop_
_atom_site_label
_atom_site_type_symbol
_atom_site_fract_x
_atom_site_fract_y
_atom_site_fract_z
_atom_site_occupancy
P1 P 0.375 0.125 0.250 1
P2 P 0.875 0.625 0.750 1
P3 P 0.375 0.625 0.250 1
P4 P 0.375 0.625 0.750 1
H1 H 0.500 0.500 0.000 1
H2 H 0.250 0.750 0.500 1
Na1 Na 0.000 0.000 0.000 1
Na2 Na 0.750 0.250 0.500 1
```

***

Li2UTlF8: optimized geometry, PBE.

Output
* raw formation energy: -21.34 eV/f.u.
* space group: P-3m1, No. 164
* raw total energy: -53.794 eV per cell

Cell and atoms, written as CIF:
```
data_Li2UTlF8
_chemical_formula_sum 'Li2 U1 Tl1 F8'
_symmetry_space_group_name_H-M 'P 1'
_symmetry_Int_Tables_number 1
_cell_length_a 4.795
_cell_length_b 4.795
_cell_length_c 7.825
_cell_angle_alpha 90.00
_cell_angle_beta 90.00
_cell_angle_gamma 120.00
loop_
_symmetry_equiv_pos_as_xyz
'x,y,z'
loop_
_atom_site_label
_atom_site_type_symbol
_atom_site_fract_x
_atom_site_fract_y
_atom_site_fract_z
_atom_site_occupancy
F1 F 0.489 0.979 0.678 1
F2 F 0.333 0.667 0.999 1
F3 F 0.979 0.489 0.322 1
F4 F 0.667 0.333 0.001 1
F5 F 0.511 0.489 0.322 1
F6 F 0.489 0.511 0.678 1
F7 F 0.511 0.021 0.322 1
F8 F 0.021 0.511 0.678 1
Tl1 Tl 0.000 0.000 0.500 1
Li1 Li 0.333 0.667 0.226 1
Li2 Li 0.667 0.333 0.774 1
U1 U 0.000 0.000 0.000 1
```

***

RbP2Br6: optimized geometry, PBE.

Output
* raw formation energy: -4.20 eV/f.u.
* space group: R3, No. 146
* raw total energy: -26.021 eV per cell

Cell and atoms, written as CIF:
```
data_RbP2Br6
_chemical_formula_sum 'Rb1 P2 Br6'
_symmetry_space_group_name_H-M 'P 1'
_symmetry_Int_Tables_number 1
_cell_length_a 7.708
_cell_length_b 7.708
_cell_length_c 9.449
_cell_angle_alpha 65.93
_cell_angle_beta 65.93
_cell_angle_gamma 60.00
loop_
_symmetry_equiv_pos_as_xyz
'x,y,z'
loop_
_atom_site_label
_atom_site_type_symbol
_atom_site_fract_x
_atom_site_fract_y
_atom_site_fract_z
_atom_site_occupancy
P1 P 0.735 0.735 0.794 1
P2 P 0.609 0.609 0.173 1
Br1 Br 0.414 0.024 0.742 1
Br2 Br 0.347 0.494 0.291 1
Br3 Br 0.024 0.819 0.742 1
Br4 Br 0.819 0.414 0.742 1
Br5 Br 0.867 0.347 0.291 1
Br6 Br 0.494 0.867 0.291 1
Rb1 Rb 0.355 0.355 0.936 1
```

***

RbHf3S6: optimized geometry, PBE.

Output
* raw formation energy: -15.21 eV/f.u.
* space group: P2_1/m, No. 11
* raw total energy: -141.611 eV per cell

Cell and atoms, written as CIF:
```
data_RbHf3S6
_chemical_formula_sum 'Rb2 Hf6 S12'
_symmetry_space_group_name_H-M 'P 1'
_symmetry_Int_Tables_number 1
_cell_length_a 3.654
_cell_length_b 11.540
_cell_length_c 11.557
_cell_angle_alpha 107.33
_cell_angle_beta 90.00
_cell_angle_gamma 90.00
loop_
_symmetry_equiv_pos_as_xyz
'x,y,z'
loop_
_atom_site_label
_atom_site_type_symbol
_atom_site_fract_x
_atom_site_fract_y
_atom_site_fract_z
_atom_site_occupancy
S1 S 0.750 0.939 0.241 1
S2 S 0.250 0.828 0.456 1
S3 S 0.250 0.061 0.759 1
S4 S 0.750 0.130 0.052 1
S5 S 0.750 0.752 0.682 1
S6 S 0.250 0.248 0.318 1
S7 S 0.750 0.344 0.849 1
S8 S 0.250 0.656 0.151 1
S9 S 0.250 0.460 0.624 1
S10 S 0.750 0.540 0.376 1
S11 S 0.750 0.172 0.544 1
S12 S 0.250 0.870 0.948 1
Hf1 Hf 0.250 0.036 0.153 1
Hf2 Hf 0.250 0.647 0.536 1
Hf3 Hf 0.750 0.353 0.464 1
Hf4 Hf 0.750 0.964 0.847 1
Hf5 Hf 0.250 0.265 0.698 1
Hf6 Hf 0.750 0.735 0.302 1
Rb1 Rb 0.750 0.628 0.903 1
Rb2 Rb 0.250 0.372 0.097 1
```

***

ScTeIr: optimized geometry, PBE.

Output
* raw formation energy: -0.64 eV/f.u.
* space group: P3m1, No. 156
* raw total energy: -18.976 eV per cell

Cell and atoms, written as CIF:
```
data_ScTeIr
_chemical_formula_sum 'Sc1 Te1 Ir1'
_symmetry_space_group_name_H-M 'P 1'
_symmetry_Int_Tables_number 1
_cell_length_a 3.318
_cell_length_b 3.318
_cell_length_c 6.661
_cell_angle_alpha 90.00
_cell_angle_beta 90.00
_cell_angle_gamma 120.00
loop_
_symmetry_equiv_pos_as_xyz
'x,y,z'
loop_
_atom_site_label
_atom_site_type_symbol
_atom_site_fract_x
_atom_site_fract_y
_atom_site_fract_z
_atom_site_occupancy
Te1 Te 0.333 0.667 0.665 1
Ir1 Ir 0.000 0.000 0.034 1
Sc1 Sc 0.667 0.333 0.301 1
```

***

ScGeO3: optimized geometry, PBE.

Output
* raw formation energy: -8.66 eV/f.u.
* space group: Pm-3m, No. 221
* raw total energy: -34.484 eV per cell

Cell and atoms, written as CIF:
```
data_ScGeO3
_chemical_formula_sum 'Sc1 Ge1 O3'
_symmetry_space_group_name_H-M 'P 1'
_symmetry_Int_Tables_number 1
_cell_length_a 3.757
_cell_length_b 3.757
_cell_length_c 3.757
_cell_angle_alpha 90.00
_cell_angle_beta 90.00
_cell_angle_gamma 90.00
loop_
_symmetry_equiv_pos_as_xyz
'x,y,z'
loop_
_atom_site_label
_atom_site_type_symbol
_atom_site_fract_x
_atom_site_fract_y
_atom_site_fract_z
_atom_site_occupancy
O1 O 0.000 0.000 0.500 1
O2 O 0.000 0.500 0.000 1
O3 O 0.500 0.000 0.000 1
Sc1 Sc 0.500 0.500 0.500 1
Ge1 Ge 0.000 0.000 0.000 1
```

***

LiZn6Co2: optimized geometry, PBE.

Output
* space group: C2/c, No. 15
* raw total energy: -47.213 eV per cell
* energy of formation from the pure elements: 1.7 kJ per mole of atoms

Cell and atoms, written as CIF:
```
data_LiZn6Co2
_chemical_formula_sum 'Li2 Zn12 Co4'
_symmetry_space_group_name_H-M 'P 1'
_symmetry_Int_Tables_number 1
_cell_length_a 5.497
_cell_length_b 6.947
_cell_length_c 6.947
_cell_angle_alpha 84.59
_cell_angle_beta 76.05
_cell_angle_gamma 76.05
loop_
_symmetry_equiv_pos_as_xyz
'x,y,z'
loop_
_atom_site_label
_atom_site_type_symbol
_atom_site_fract_x
_atom_site_fract_y
_atom_site_fract_z
_atom_site_occupancy
Zn1 Zn 0.813 0.954 0.785 1
Zn2 Zn 0.519 0.372 0.647 1
Zn3 Zn 0.723 0.042 0.446 1
Zn4 Zn 0.981 0.353 0.628 1
Zn5 Zn 0.687 0.215 0.046 1
Zn6 Zn 0.223 0.446 0.042 1
Zn7 Zn 0.187 0.046 0.215 1
Zn8 Zn 0.481 0.628 0.353 1
Zn9 Zn 0.777 0.554 0.958 1
Zn10 Zn 0.019 0.647 0.372 1
Zn11 Zn 0.277 0.958 0.554 1
Zn12 Zn 0.313 0.785 0.954 1
Co1 Co 0.146 0.644 0.707 1
Co2 Co 0.354 0.293 0.356 1
Co3 Co 0.854 0.356 0.293 1
Co4 Co 0.646 0.707 0.644 1
Li1 Li 0.750 0.855 0.145 1
Li2 Li 0.250 0.145 0.855 1
```